(1)
LaEuAgPd | PBE-GGA | optimized geometry

a b c (Å): 5.270 5.270 5.270
angles (deg): 60.00 60.00 60.00
Site moments in Bohr magnetons follow the coordinates.
Sites, in units of the cell vectors:
1 Eu 0.000 0.000 0.000  6.83
2 La 0.500 0.500 0.500  0.05
3 Ag 0.250 0.250 0.250  0.01
4 Pd 0.750 0.750 0.750  -0.02

Values from the calculation:
The calculation puts the formation energy at -0.4910 eV per atom. The calculation puts the density of states at the Fermi level at 8.2 states/eV per cell. For the total DFT energy (no corrections), the calculation gives -6.303 eV/atom. Its crystal system is cubic. For the mass density, the calculation gives 8.1 g/cm3.



(2)
LaEuAgRu | PBE-GGA | optimized geometry

a b c (Å): 5.159 5.159 5.159
angles (deg): 60.00 60.00 60.00
Site moments in Bohr magnetons follow the coordinates.
Sites, in units of the cell vectors:
1 La 0.750 0.750 0.750  0.04
2 Ag 0.500 0.500 0.500  0.01
3 Ru 0.000 0.000 0.000  -0.29
4 Eu 0.250 0.250 0.250  6.76

Values from the calculation:
The calculation puts the formation energy at -0.0939 eV per atom. The calculation puts the density of states at the Fermi level at 11.8 states/eV per cell. For the total DFT energy (no corrections), the calculation gives -6.926 eV/atom. Its crystal system is cubic. For the mass density, the calculation gives 8.6 g/cm3.



(3)
LaEuSiAg | PBE-GGA | optimized geometry

a b c (Å): 5.300 5.300 5.300
angles (deg): 60.00 60.00 60.00
Site moments in Bohr magnetons follow the coordinates.
Sites, in units of the cell vectors:
1 Si 0.750 0.750 0.750  -0.03
2 Eu 0.500 0.500 0.500  6.85
3 La 0.000 0.000 0.000  0.07
4 Ag 0.250 0.250 0.250  0.01

Values from the calculation:
The calculation puts the density of states at the Fermi level at 8.4 states/eV per cell. For the total DFT energy (no corrections), the calculation gives -6.299 eV/atom. Its crystal system is cubic. For the mass density, the calculation gives 6.7 g/cm3.



(4)
LiEuAg3 | PBE-GGA | optimized geometry

a b c (Å): 4.815 4.815 4.815
angles (deg): 90.00 90.00 90.00
Site moments in Bohr magnetons follow the coordinates.
Sites, in units of the cell vectors:
1 Li 0.000 0.000 0.000  -0.01
2 Ag 0.500 0.000 0.000  0.00
3 Ag 0.000 0.000 0.500  0.00
4 Ag 0.000 0.500 0.000  0.00
5 Eu 0.500 0.500 0.500  6.84

Values from the calculation:
The calculation puts the formation energy at -0.0576 eV per atom. The calculation puts the density of states at the Fermi level at 13.8 states/eV per cell. For the total DFT energy (no corrections), the calculation gives -4.206 eV/atom. Its crystal system is cubic. For the mass density, the calculation gives 7.2 g/cm3.



| no. | total magnetic moment (μB/cell) |
| --- | --- |
| 1 | 7.2 |
| 2 | 6.8 |
| 3 | 7.2 |
| 4 | 7.1 |